A plane-wave DFT calculation with PBE was carried out for RbIr2Rh after structural relaxation.

The structure in POSCAR format:
```
RbIr2Rh
1.0
-4.9694 -1.1167 0.2979
0.9319 -3.0936 3.9486
-3.1554 4.3798 7.4722
Ir Rh Rb
4 2 2
direct
0.8751 0.1250 0.2500
0.8749 0.6250 0.2500
0.3750 0.1249 0.7500
0.8750 0.1251 0.7500
0.0000 0.0000 0.0000
0.7500 0.2500 0.5000
0.5000 0.5000 0.0000
0.2500 0.7500 0.5000
```

**E_tot**: -5.50 eV/atom
**ΔE_f**: 4.05 eV/f.u.
**Offset from the most stable computed form**: 0.0000 eV per atom